[1]
Here is a geometry-optimized K5La3F12 structure from Alexandria via LeMat-Bulk. Energies are from PBE-GGA.

Crystal system: cubic
E_form (uncorrected) in meV/atom: -3113
DOS at the Fermi energy in states/eV/f.u.: 11.3
E in eV per atom: -5.249
Space-group type: No. 230

Unit cell a=12.869 b=12.869 c=12.869 alpha=109.47 beta=109.47 gamma=109.47
Positions (direct):
K1 0.125 0.750 0.375
K2 0.125 0.375 0.250
K3 0.000 0.500 0.500
K4 0.375 0.125 0.750
K5 0.250 0.375 0.625
K6 0.750 0.125 0.875
K7 0.000 0.000 0.500
K8 0.500 0.000 0.500
K9 0.000 0.500 0.000
K10 0.750 0.625 0.375
K11 0.375 0.250 0.125
K12 0.500 0.000 0.000
K13 0.500 0.500 0.500
K14 0.625 0.875 0.250
K15 0.625 0.750 0.875
K16 0.500 0.500 0.000
K17 0.000 0.000 0.000
K18 0.875 0.625 0.750
K19 0.250 0.875 0.125
K20 0.875 0.250 0.625
La1 0.250 0.125 0.375
La2 0.625 0.250 0.375
La3 0.250 0.625 0.875
La4 0.625 0.375 0.750
La5 0.375 0.750 0.625
La6 0.125 0.875 0.750
La7 0.375 0.625 0.250
La8 0.875 0.125 0.250
La9 0.875 0.750 0.125
La10 0.750 0.875 0.625
La11 0.125 0.250 0.875
La12 0.750 0.375 0.125
F1 0.390 0.132 0.558
F2 0.832 0.890 0.258
F3 0.368 0.925 0.758
F4 0.868 0.610 0.942
F5 0.058 0.890 0.132
F6 0.075 0.442 0.832
F7 0.925 0.368 0.258
F8 0.575 0.332 0.942
F9 0.425 0.758 0.868
F10 0.110 0.942 0.368
F11 0.868 0.258 0.425
F12 0.442 0.075 0.332
F13 0.610 0.742 0.668
F14 0.742 0.610 0.168
F15 0.890 0.058 0.632
F16 0.668 0.425 0.558
F17 0.890 0.832 0.758
F18 0.132 0.390 0.058
F19 0.368 0.442 0.110
F20 0.242 0.575 0.632
F21 0.942 0.832 0.575
F22 0.632 0.075 0.242
F23 0.075 0.632 0.742
F24 0.925 0.558 0.168
F25 0.632 0.558 0.890
F26 0.258 0.390 0.832
F27 0.668 0.242 0.610
F28 0.425 0.668 0.058
F29 0.242 0.668 0.110
F30 0.558 0.632 0.390
F31 0.942 0.110 0.868
F32 0.575 0.242 0.132
F33 0.442 0.368 0.610
F34 0.390 0.258 0.332
F35 0.742 0.132 0.075
F36 0.758 0.425 0.368
F37 0.168 0.058 0.925
F38 0.168 0.110 0.742
F39 0.132 0.742 0.575
F40 0.058 0.168 0.425
F41 0.558 0.925 0.668
F42 0.832 0.942 0.075
F43 0.758 0.332 0.890
F44 0.332 0.575 0.442
F45 0.332 0.758 0.390
F46 0.110 0.168 0.242
F47 0.610 0.868 0.442
F48 0.258 0.868 0.925

***

[2]
Here is a geometry-optimized ZrBeTeN2 structure from Alexandria via LeMat-Bulk. Energies are from PBE-GGA.

Crystal system: tetragonal
E_form (uncorrected) in meV/atom: 900
DOS at the Fermi energy in states/eV/f.u.: 3.6
Polymorph energy (0 for the lowest one) in eV/f.u.: 1.25
E in eV per atom: -5.514
Space-group type: No. 123

Unit cell a=3.879 b=3.879 c=4.833 alpha=90.00 beta=90.00 gamma=90.00
Positions (direct):
Te1 0.000 0.000 0.500
N1 0.500 0.000 0.000
N2 0.000 0.500 0.000
Zr1 0.500 0.500 0.500
Be1 0.000 0.000 0.000

***

[3]
Here is a geometry-optimized AcZn4Cd8 structure from Alexandria via LeMat-Bulk. Energies are from PBE-GGA.

Crystal system: tetragonal
Energy of formation from the pure elements in meV/atom: -134
DOS at the Fermi energy in states/eV/f.u.: 2.5
E in eV per atom: -1.405
Space-group type: No. 139

Unit cell a=5.775 b=7.492 c=7.492 alpha=81.46 beta=67.33 gamma=67.33
Positions (direct):
Zn1 0.500 0.000 0.500
Zn2 0.500 0.500 0.000
Zn3 0.000 0.000 0.500
Zn4 0.000 0.500 0.000
Cd1 0.720 0.780 0.780
Cd2 0.650 0.350 0.350
Cd3 0.280 0.220 0.220
Cd4 0.000 0.650 0.350
Cd5 0.500 0.220 0.780
Cd6 0.000 0.350 0.650
Cd7 0.500 0.780 0.220
Cd8 0.350 0.650 0.650
Ac1 0.000 0.000 0.000

***

[4]
Here is a geometry-optimized Pm5Pr5Tm structure from Alexandria via LeMat-Bulk. Energies are from PBE-GGA.

Crystal system: hexagonal
Energy of formation from the pure elements in meV/atom: 312
DOS at the Fermi energy in states/eV/f.u.: 19.1
E in eV per atom: -4.426
Space-group type: No. 187

Unit cell a=6.258 b=6.258 c=11.662 alpha=90.00 beta=90.00 gamma=120.00
Positions (direct):
Pr1 0.000 0.000 0.737
Pr2 0.000 0.000 0.263
Pr3 0.830 0.170 0.500
Pr4 0.830 0.660 0.500
Pr5 0.340 0.170 0.500
Pm1 0.667 0.333 0.158
Pm2 0.000 0.000 0.000
Pm3 0.333 0.667 0.315
Pm4 0.667 0.333 0.842
Pm5 0.333 0.667 0.685
Tm1 0.333 0.667 0.000

***

[5]
Here is a geometry-optimized CaTb2Pt9 structure from Alexandria via LeMat-Bulk. Energies are from PBE-GGA.

Crystal system: trigonal
Energy of formation from the pure elements in meV/atom: -879
DOS at the Fermi energy in states/eV/f.u.: 9.7
E in eV per atom: -6.348
Space-group type: No. 166

Unit cell a=5.436 b=5.436 c=9.365 alpha=73.13 beta=73.13 gamma=60.00
Positions (direct):
Pt1 0.588 0.081 0.744
Pt2 0.588 0.588 0.744
Pt3 0.919 0.412 0.256
Pt4 0.667 0.667 0.998
Pt5 0.333 0.333 0.002
Pt6 0.500 0.500 0.500
Pt7 0.412 0.412 0.256
Pt8 0.412 0.919 0.256
Pt9 0.081 0.588 0.744
Tb1 0.139 0.139 0.583
Tb2 0.861 0.861 0.417
Ca1 0.000 0.000 0.000

***

[6]
Here is a geometry-optimized HgMoOs2 structure from Alexandria via LeMat-Bulk. Energies are from PBE-GGA.

Crystal system: tetragonal
Energy of formation from the pure elements in meV/atom: 698
DOS at the Fermi energy in states/eV/f.u.: 3.6
E in eV per atom: -7.700
Space-group type: No. 119

Unit cell a=5.026 b=5.026 c=5.026 alpha=134.41 beta=134.41 gamma=66.44
Positions (direct):
Hg1 0.500 0.500 0.000
Os1 0.250 0.750 0.500
Os2 0.000 0.000 0.000
Mo1 0.750 0.250 0.500

***

[7]
Here is a geometry-optimized CeEr2Mg structure from Alexandria via LeMat-Bulk. Energies are from PBE-GGA.

Crystal system: cubic
Energy of formation from the pure elements in meV/atom: 160
DOS at the Fermi energy in states/eV/f.u.: 8.7
Polymorph energy (0 for the lowest one) in eV/f.u.: 0.61
E in eV per atom: -4.003
Space-group type: No. 225

Unit cell a=5.457 b=5.457 c=5.457 alpha=60.00 beta=60.00 gamma=60.00
Positions (direct):
Er1 0.750 0.750 0.750
Er2 0.250 0.250 0.250
Ce1 0.000 0.000 0.000
Mg1 0.500 0.500 0.500

***

[8]
Here is a geometry-optimized Li3Pd5I12 structure from Alexandria via LeMat-Bulk. Energies are from PBE-GGA.

Crystal system: cubic
E_form (uncorrected) in meV/atom: -350
DOS at the Fermi energy in states/eV/f.u.: 11.1
E in eV per atom: -2.865
Space-group type: No. 230

Unit cell a=15.293 b=15.293 c=15.293 alpha=109.47 beta=109.47 gamma=109.47
Positions (direct):
I1 0.140 0.453 0.120
I2 0.360 0.380 0.047
I3 0.520 0.187 0.140
I4 0.640 0.020 0.187
I5 0.667 0.480 0.620
I6 0.860 0.313 0.480
I7 0.453 0.140 0.620
I8 0.453 0.313 0.333
I9 0.953 0.120 0.640
I10 0.880 0.833 0.520
I11 0.480 0.813 0.860
I12 0.120 0.167 0.480
I13 0.187 0.520 0.640
I14 0.313 0.453 0.833
I15 0.860 0.547 0.880
I16 0.620 0.640 0.453
I17 0.047 0.167 0.187
I18 0.187 0.667 0.047
I19 0.020 0.380 0.833
I20 0.480 0.667 0.120
I21 0.547 0.860 0.380
I22 0.980 0.360 0.313
I23 0.687 0.140 0.020
I24 0.047 0.880 0.360
I25 0.687 0.547 0.167
I26 0.380 0.360 0.547
I27 0.333 0.813 0.453
I28 0.880 0.047 0.860
I29 0.620 0.980 0.667
I30 0.953 0.833 0.813
I31 0.313 0.860 0.980
I32 0.140 0.687 0.520
I33 0.020 0.640 0.687
I34 0.833 0.880 0.020
I35 0.380 0.020 0.333
I36 0.547 0.687 0.667
I37 0.360 0.980 0.813
I38 0.167 0.047 0.687
I39 0.667 0.187 0.547
I40 0.833 0.953 0.313
I41 0.333 0.520 0.380
I42 0.120 0.953 0.140
I43 0.640 0.620 0.953
I44 0.980 0.620 0.167
I45 0.813 0.333 0.953
I46 0.813 0.480 0.360
I47 0.520 0.333 0.880
I48 0.167 0.120 0.980
Pd1 0.125 0.750 0.375
Pd2 0.250 0.875 0.125
Pd3 0.125 0.375 0.250
Pd4 0.000 0.000 0.500
Pd5 0.500 0.500 0.000
Pd6 0.750 0.625 0.375
Pd7 0.375 0.250 0.125
Pd8 0.250 0.375 0.625
Pd9 0.000 0.000 0.000
Pd10 0.875 0.625 0.750
Pd11 0.875 0.250 0.625
Pd12 0.000 0.500 0.000
Pd13 0.625 0.875 0.250
Pd14 0.000 0.500 0.500
Pd15 0.750 0.125 0.875
Pd16 0.500 0.500 0.500
Pd17 0.375 0.125 0.750
Pd18 0.500 0.000 0.000
Pd19 0.500 0.000 0.500
Pd20 0.625 0.750 0.875
Li1 0.125 0.250 0.875
Li2 0.875 0.750 0.125
Li3 0.625 0.250 0.375
Li4 0.625 0.375 0.750
Li5 0.875 0.125 0.250
Li6 0.250 0.125 0.375
Li7 0.750 0.375 0.125
Li8 0.375 0.625 0.250
Li9 0.125 0.875 0.750
Li10 0.750 0.875 0.625
Li11 0.375 0.750 0.625
Li12 0.250 0.625 0.875

***

[9]
Here is a geometry-optimized K2ZnW structure from Alexandria via LeMat-Bulk. Energies are from PBE-GGA.

Crystal system: orthorhombic
Energy of formation from the pure elements in meV/atom: 1307
DOS at the Fermi energy in states/eV/f.u.: 2.7
E in eV per atom: -2.798
Space-group type: No. 65

Unit cell a=6.575 b=6.575 c=2.790 alpha=90.00 beta=90.00 gamma=125.75
Positions (direct):
K1 0.500 0.500 0.000
K2 0.000 0.000 0.000
Zn1 0.000 0.500 0.500
W1 0.500 0.000 0.500

***

[10]
Here is a geometry-optimized VHgS2 structure from Alexandria via LeMat-Bulk. Energies are from PBE-GGA.

Crystal system: orthorhombic
E_form (uncorrected) in meV/atom: -397
DOS at the Fermi energy in states/eV/f.u.: 1.6
E in eV per atom: -4.816
Space-group type: No. 33

Unit cell a=6.626 b=9.375 c=6.378 alpha=90.00 beta=90.00 gamma=90.00
Positions (direct):
S1 0.522 0.397 0.162
S2 0.978 0.897 0.662
S3 0.768 0.715 0.103
S4 0.022 0.103 0.162
S5 0.732 0.215 0.603
S6 0.232 0.285 0.603
S7 0.268 0.785 0.103
S8 0.478 0.603 0.662
V1 0.477 0.611 0.006
V2 0.523 0.389 0.506
V3 0.977 0.889 0.006
V4 0.023 0.111 0.506
Hg1 0.433 0.962 0.478
Hg2 0.567 0.038 0.978
Hg3 0.067 0.462 0.978
Hg4 0.933 0.538 0.478

***

[11]
Here is a geometry-optimized PuBO3 structure from Alexandria via LeMat-Bulk. Energies are from PBE-GGA.

Crystal system: monoclinic
E_form (uncorrected) in meV/atom: -2771
DOS at the Fermi energy in states/eV/f.u.: 5.9
E in eV per atom: -9.948
Space-group type: No. 15

Unit cell a=6.707 b=6.707 c=9.988 alpha=70.53 beta=70.53 gamma=60.00
Positions (direct):
Pu1 0.161 0.669 0.500
Pu2 0.000 0.500 0.000
Pu3 0.669 0.161 0.000
Pu4 0.839 0.331 0.500
Pu5 0.500 0.000 0.500
Pu6 0.331 0.839 0.000
O1 0.370 0.630 0.250
O2 0.537 0.716 0.389
O3 0.463 0.284 0.611
O4 0.026 0.882 0.888
O5 0.796 0.417 0.250
O6 0.371 0.192 0.887
O7 0.192 0.371 0.387
O8 0.716 0.537 0.889
O9 0.882 0.026 0.388
O10 0.204 0.583 0.750
O11 0.974 0.118 0.112
O12 0.118 0.974 0.612
O13 0.583 0.204 0.250
O14 0.808 0.629 0.613
O15 0.630 0.370 0.750
O16 0.284 0.463 0.111
O17 0.417 0.796 0.750
O18 0.629 0.808 0.113
B1 0.347 0.417 0.249
B2 0.819 0.181 0.250
B3 0.583 0.653 0.251
B4 0.653 0.583 0.751
B5 0.417 0.347 0.749
B6 0.181 0.819 0.750

***

[12]
Here is a geometry-optimized Tb3CoPt structure from Alexandria via LeMat-Bulk. Energies are from PBE-GGA.

Crystal system: monoclinic
Energy of formation from the pure elements in meV/atom: -608
DOS at the Fermi energy in states/eV/f.u.: 4.9
E in eV per atom: -6.016
Space-group type: No. 11

Unit cell a=3.917 b=7.674 c=8.199 alpha=107.76 beta=90.00 gamma=90.00
Positions (direct):
Tb1 0.250 0.918 0.763
Tb2 0.750 0.082 0.237
Tb3 0.750 0.650 0.408
Tb4 0.250 0.350 0.592
Tb5 0.750 0.309 0.929
Tb6 0.250 0.691 0.071
Co1 0.250 0.944 0.426
Co2 0.750 0.056 0.574
Pt1 0.250 0.364 0.204
Pt2 0.750 0.636 0.796

***

[13]
Here is a geometry-optimized Co2PtW structure from Alexandria via LeMat-Bulk. Energies are from PBE-GGA.

Crystal system: monoclinic
Energy of formation from the pure elements in meV/atom: 144
DOS at the Fermi energy in states/eV/f.u.: 4.5
Polymorph energy (0 for the lowest one) in eV/f.u.: 1.06
E in eV per atom: -8.158
Space-group type: No. 10

Unit cell a=4.208 b=2.648 c=4.970 alpha=81.93 beta=90.00 gamma=90.00
Positions (direct):
Co1 0.000 0.563 0.514
Co2 0.000 0.937 0.986
Pt1 0.500 0.250 0.250
W1 0.500 0.750 0.750

***

[14]
Here is a geometry-optimized SmHfNbN3 structure from Alexandria via LeMat-Bulk. Energies are from PBE-GGA.

Crystal system: monoclinic
E_form (uncorrected) in meV/atom: -1473
DOS at the Fermi energy in states/eV/f.u.: 1.9
E in eV per atom: -9.760
Space-group type: No. 11

Unit cell a=3.284 b=5.671 c=8.480 alpha=102.83 beta=90.00 gamma=90.00
Positions (direct):
N1 0.750 0.560 0.153
N2 0.250 0.963 0.850
N3 0.750 0.037 0.150
N4 0.750 0.252 0.509
N5 0.250 0.748 0.491
N6 0.250 0.440 0.847
Nb1 0.250 0.123 0.634
Nb2 0.750 0.877 0.366
Sm1 0.250 0.353 0.309
Sm2 0.750 0.647 0.691
Hf1 0.250 0.767 0.049
Hf2 0.750 0.233 0.951

***

[15]
Here is a geometry-optimized Ba2InN structure from Alexandria via LeMat-Bulk. Energies are from PBE-GGA.

Crystal system: cubic
E_form (uncorrected) in meV/atom: 449
DOS at the Fermi energy in states/eV/f.u.: 5.0
E in eV per atom: -3.278
Space-group type: No. 225

Unit cell a=5.605 b=5.605 c=5.605 alpha=60.00 beta=60.00 gamma=60.00
Positions (direct):
In1 0.500 0.500 0.500
N1 0.000 0.000 0.000
Ba1 0.250 0.250 0.250
Ba2 0.750 0.750 0.750

***

[16]
Here is a geometry-optimized RbBe2Br structure from Alexandria via LeMat-Bulk. Energies are from PBE-GGA.

Crystal system: cubic
E_form (uncorrected) in meV/atom: 993
DOS at the Fermi energy in states/eV/f.u.: 0.0
Polymorph energy (0 for the lowest one) in eV/f.u.: 0.89
E in eV per atom: -1.530
Space-group type: No. 225

Unit cell a=5.619 b=5.619 c=5.619 alpha=60.00 beta=60.00 gamma=60.00
Positions (direct):
Be1 0.250 0.250 0.250
Be2 0.750 0.750 0.750
Br1 0.000 0.000 0.000
Rb1 0.500 0.500 0.500